# Ba3CaPd | Alexandria via LeMat-Bulk | PBEsol | optimized geometry
# **Symmetry**: No. 221
data_Ba3CaPd
_cell_length_a 6.2087
_cell_length_b 6.2087
_cell_length_c 6.2087
_cell_angle_alpha 90.00
_cell_angle_beta 90.00
_cell_angle_gamma 90.00
_space_group_name_H-M_alt 'P 1'
_space_group_IT_number 1
_space_group_name_Hall 'P 1'
loop_
_atom_site_label
_atom_site_type_symbol
_atom_site_fract_x
_atom_site_fract_y
_atom_site_fract_z
_atom_site_occupancy
Ca1 Ca 0.5000 0.5000 0.5000 1
Ba1 Ba 0.0000 0.5000 0.0000 1
Ba2 Ba 0.0000 0.0000 0.5000 1
Ba3 Ba 0.5000 0.0000 0.0000 1
Pd1 Pd 0.0000 0.0000 0.0000 1



# MoPRu | Alexandria via LeMat-Bulk | PBEsol | optimized geometry
# **Symmetry**: No. 189
data_MoPRu
_cell_length_a 3.8338
_cell_length_b 6.0014
_cell_length_c 6.0014
_cell_angle_alpha 120.00
_cell_angle_beta 90.00
_cell_angle_gamma 90.00
_space_group_name_H-M_alt 'P 1'
_space_group_IT_number 1
_space_group_name_Hall 'P 1'
loop_
_atom_site_label
_atom_site_type_symbol
_atom_site_fract_x
_atom_site_fract_y
_atom_site_fract_z
_atom_site_occupancy
Mo1 Mo 0.5000 0.5920 0.5920 1
Mo2 Mo 0.5000 0.0000 0.4080 1
Mo3 Mo 0.5000 0.4080 0.0000 1
P1 P 0.0000 0.6667 0.3333 1
P2 P 0.0000 0.3333 0.6667 1
P3 P 0.5000 0.0000 0.0000 1
Ru1 Ru 0.0000 0.2604 0.2604 1
Ru2 Ru 0.0000 0.0000 0.7396 1
Ru3 Ru 0.0000 0.7396 0.0000 1



Number 1: calculated formation energy -0.1825 eV/atom, total moment 0.0 μB per cell, D(E_F) 4.38 states/eV/cell. Number 2: calculated formation energy -0.5524 eV/atom, total moment 0.0 μB per cell, D(E_F) 8.94 states/eV/cell.